(1)
## Ca2TaCoO6 (PBE with a Hubbard U)

Data for a relaxed structure of Ca2TaCoO6.

Lattice parameters (Å, degrees): 7.699 5.487 5.664 89.70 90.00 90.00
Atoms (fractional coordinates):
O 0.250 0.902 0.530
Ca 0.250 0.486 0.436
Ca 0.750 0.514 0.564
Ca 0.250 0.014 0.957
O 0.950 0.802 0.787
Co 0.000 0.500 0.000
O 0.050 0.198 0.213
O 0.750 0.098 0.470
O 0.250 0.586 0.023
O 0.750 0.414 0.977
Co 0.500 0.500 0.000
O 0.550 0.802 0.787
O 0.547 0.711 0.301
Ta 0.500 0.000 0.500
O 0.453 0.289 0.699
O 0.047 0.289 0.699
O 0.450 0.198 0.213
O 0.953 0.711 0.301
Ca 0.750 0.986 0.043
Ta 0.000 0.000 0.500

For the total energy, the calculation gives -7.5780 eV per atom.

(2)
## CaCoTcO6 (PBE with a Hubbard U)

Data for a relaxed structure of CaCoTcO6.

Lattice parameters (Å, degrees): 5.055 5.055 10.036 90.00 90.00 120.00
Atoms (fractional coordinates):
O 0.377 0.999 0.645
Co 0.333 0.667 0.750
O 0.001 0.378 0.645
O 0.622 0.999 0.855
O 0.999 0.377 0.145
Tc 0.667 0.333 0.750
O 0.623 0.001 0.355
Co 0.667 0.333 0.250
O 0.622 0.623 0.645
O 0.378 0.377 0.355
O 0.377 0.378 0.855
Ca 0.000 0.000 0.000
O 0.999 0.622 0.355
Ca 0.000 0.000 0.500
O 0.378 0.001 0.145
Tc 0.333 0.667 0.250
O 0.623 0.622 0.145
O 0.001 0.623 0.855

For the total energy, the calculation gives -6.8307 eV per atom.

(3)
## CaCoTc2O (PBE with a Hubbard U)

Data for a relaxed structure of CaCoTc2O.

Lattice parameters (Å, degrees): 4.085 4.562 4.085 90.00 90.00 90.00
Atoms (fractional coordinates):
O 0.000 0.000 0.000
Tc 0.500 0.000 0.000
Co 0.500 0.500 0.500
Tc 0.000 0.000 0.500
Ca 0.000 0.500 0.000

For the total energy, the calculation gives -6.5522 eV per atom.

(4)
## CaCoTe2O8 (PBE with a Hubbard U)

Data for a relaxed structure of CaCoTe2O8.

Lattice parameters (Å, degrees): 4.924 4.919 6.322 90.00 90.00 85.34
Atoms (fractional coordinates):
Te 0.500 0.500 0.245
O 0.217 0.781 0.235
Co 0.000 0.000 0.000
Te 0.500 0.500 0.755
O 0.783 0.219 0.765
O 0.217 0.781 0.765
O 0.684 0.686 0.000
O 0.673 0.675 0.500
O 0.316 0.314 0.000
Ca 0.000 0.000 0.500
O 0.327 0.325 0.500
O 0.783 0.219 0.235

For the total energy, the calculation gives -5.7298 eV per atom.

(5)
## CaCo2TeO (PBE with a Hubbard U)

Data for a relaxed structure of CaCo2TeO.

Lattice parameters (Å, degrees): 4.605 6.257 4.605 90.00 90.00 90.00
Atoms (fractional coordinates):
Ca 0.000 0.500 0.000
O 0.500 0.500 0.500
Te 0.000 0.000 0.000
Co 0.500 0.000 0.000
Co 0.000 0.000 0.500

For the total energy, the calculation gives -3.5863 eV per atom.

(6)
## CaCoTeO5 (PBE with a Hubbard U)

Data for a relaxed structure of CaCoTeO5.

Lattice parameters (Å, degrees): 5.815 5.815 7.556 105.28 105.28 107.08
Atoms (fractional coordinates):
O 0.261 0.342 0.594
O 0.895 0.289 0.085
O 0.289 0.895 0.585
Co 0.690 0.310 0.250
Ca 0.673 0.327 0.750
Co 0.310 0.690 0.750
O 0.739 0.658 0.406
Te 0.000 0.000 0.500
O 0.711 0.105 0.415
O 0.069 0.931 0.250
O 0.658 0.739 0.906
O 0.105 0.711 0.915
Ca 0.327 0.673 0.250
Te 0.000 0.000 0.000
O 0.342 0.261 0.094
O 0.931 0.069 0.750

For the total energy, the calculation gives -5.9967 eV per atom.